A plane-wave DFT calculation with PBE was carried out for a relaxed Nd6CdCu crystal.

```
Nd6CdCu
1.0
-2.626 2.626 8.928
2.626 -2.626 8.928
2.626 2.626 -8.928
Nd Cd Cu
6 1 1
Direct
0.106 0.606 0.500
0.249 0.249 0.000
0.394 0.894 0.500
0.606 0.106 0.500
0.751 0.751 0.000
0.894 0.394 0.500
0.000 0.000 0.000
0.500 0.500 0.000
```

Results
Calculated formation energy   -0.62 eV per formula unit
N(E_F)   1.2212 states/eV per atom
Raw total energy   -34.2 eV per cell